No. 1
A plane-wave DFT calculation with PBE was carried out for an optimized crystal structure of SrMg2CdCu.

E in eV per cell: -10.2
Density in kg/m3: 3984

The structure in extended XYZ format:
```
5
Lattice="5.037 0.000 0.000 0.000 5.037 0.000 0.000 0.000 5.128" Properties=species:S:1:pos:R:3 pbc="T T T"
Sr 0.000 0.000 0.000
Mg 0.000 2.519 2.564
Mg 2.519 0.000 2.564
Cd 2.519 2.519 0.000
Cu 2.519 2.519 2.564
```


No. 2
A plane-wave DFT calculation with PBE was carried out for an optimized crystal structure of Sr2MgCdCu.

E in eV per cell: -10.1
Density in kg/m3: 3637

The structure in extended XYZ format:
```
5
Lattice="5.880 0.000 0.000 0.000 5.880 0.000 0.000 0.000 4.959" Properties=species:S:1:pos:R:3 pbc="T T T"
Sr 0.000 2.940 0.000
Sr 2.940 0.000 0.000
Mg 0.000 0.000 2.479
Cd 2.940 2.940 2.479
Cu 0.000 0.000 0.000
```


No. 3
A plane-wave DFT calculation with PBE was carried out for an optimized crystal structure of Sr2MgCd12Cu3.

E in eV per cell: -25.8
Density in kg/m3: 5654

The structure in extended XYZ format:
```
18
Lattice="4.744 2.739 6.551 -4.744 2.739 6.551 0.000 -5.478 6.551" Properties=species:S:1:pos:R:3 pbc="T T T"
Sr 0.000 0.000 1.957
Sr 0.000 0.000 17.695
Mg 0.000 0.000 9.826
Cd -2.453 -1.416 9.133
Cd 0.000 -2.432 6.832
Cd -2.106 1.216 6.832
Cd -2.106 -1.216 12.820
Cd 0.000 -2.832 10.520
Cd -2.453 1.416 10.520
Cd 2.453 -1.416 9.133
Cd 0.000 2.832 9.133
Cd 2.106 1.216 6.832
Cd 2.106 -1.216 12.820
Cd 0.000 2.432 12.820
Cd 2.453 1.416 10.520
Cu -2.372 -1.370 6.551
Cu -2.372 1.370 13.102
Cu 0.000 2.739 6.551
```


No. 4
A plane-wave DFT calculation with PBE was carried out for an optimized crystal structure of TbMgCdCu.

E in eV per cell: -12.1
Density in kg/m3: 7081

The structure in extended XYZ format:
```
4
Lattice="0.000 3.479 3.479 3.479 0.000 3.479 3.479 3.479 0.000" Properties=species:S:1:pos:R:3 pbc="T T T"
Tb 0.000 0.000 0.000
Mg 3.479 3.479 3.479
Cd 1.740 1.740 1.740
Cu 5.219 5.219 5.219
```


No. 5
A plane-wave DFT calculation with PBE was carried out for an optimized crystal structure of Mg2TlCdCu.

E in eV per cell: -10.1
Density in kg/m3: 5703

The structure in extended XYZ format:
```
5
Lattice="4.996 0.000 0.000 0.000 4.996 0.000 0.000 0.000 5.004" Properties=species:S:1:pos:R:3 pbc="T T T"
Mg 0.000 2.498 0.000
Mg 2.498 0.000 0.000
Tl 0.000 0.000 2.502
Cd 2.498 2.498 2.502
Cu 2.498 2.498 0.000
```


No. 6
A plane-wave DFT calculation with PBE was carried out for an optimized crystal structure of TmMgCdCu.

E in eV per cell: -11.9
Density in kg/m3: 7525

The structure in extended XYZ format:
```
4
Lattice="0.000 3.441 3.441 3.441 0.000 3.441 3.441 3.441 0.000" Properties=species:S:1:pos:R:3 pbc="T T T"
Tm 0.000 0.000 0.000
Mg 3.441 3.441 3.441
Cd 1.720 1.720 1.720
Cu 5.161 5.161 5.161
```


No. 7
A plane-wave DFT calculation with PBE was carried out for an optimized crystal structure of MgVCdCu2.

E in eV per cell: -13.3
Density in kg/m3: 4772

The structure in extended XYZ format:
```
5
Lattice="4.722 0.000 0.000 0.000 4.722 0.000 0.000 0.000 4.911" Properties=species:S:1:pos:R:3 pbc="T T T"
Mg 0.000 0.000 0.000
V 2.361 2.361 0.000
Cd 0.000 0.000 2.455
Cu 0.000 2.361 2.455
Cu 2.361 0.000 2.455
```


No. 8
A plane-wave DFT calculation with PBE was carried out for an optimized crystal structure of Y2MgCdCu.

E in eV per cell: -19.1
Density in kg/m3: 4501

The structure in extended XYZ format:
```
5
Lattice="5.339 0.000 0.000 0.000 5.339 0.000 0.000 0.000 4.894" Properties=species:S:1:pos:R:3 pbc="T T T"
Y 0.000 2.669 0.000
Y 2.669 0.000 0.000
Mg 0.000 0.000 2.447
Cd 2.669 2.669 2.447
Cu 2.669 2.669 0.000
```


We obtain E_form values of -0.0569; -0.0279; 0.1358; -0.2262; 0.0922; -0.2130; 1.2982; 0.0801 eV/atom for the records listed above, in that order.